! PBE-GGA CaPrHo2S4, optimized geometry; values from VASP
! Symmetry: P2/m, No. 10
! Total magnetization, Bohr magnetons per cell: 0.000
! E_form (uncorrected), eV/f.u.: -16.1
&SYSTEM
  ibrav = 0, nat = 8, ntyp = 4
/
ATOMIC_SPECIES
Ca 40.08 Ca.upf
Pr 140.91 Pr.upf
Ho 164.93 Ho.upf
S 32.06 S.upf
ATOMIC_POSITIONS angstrom
Ca 0.000 0.000 0.000
Pr -1.126 1.974 3.263
Ho 2.319 0.000 3.263
Ho 3.446 1.974 0.000
S 1.242 1.974 1.621
S 0.109 0.000 4.969
S 4.530 0.000 1.557
S 3.397 1.974 4.906
CELL_PARAMETERS angstrom
6.891 0.000 0.000
0.000 3.947 0.000
-2.253 0.000 6.526